VASP calculation (GGA+U) on a relaxed Sr2VTeF crystal.

VASP energy in eV/atom: -3.563
Symmetry: P4/mmm (123)
Fermi-level density of states in states/eV per cell: 1.2

Cell: 6.188 5.059 6.188 Å, 90.00 90.00 90.00°
Last column: magnetic moment on the atom in μB.
Element x y z (fractional)
F  0.500  0.500  0.500  0.00
V  0.000  0.000  0.000  2.85
Sr  0.500  0.000  0.000  0.08
Sr  0.000  0.000  0.500  0.07
Te  0.000  0.500  0.000  -0.12